[1]
Entry from Alexandria via LeMat-Bulk: a geometry-optimized LiAu2Cl structure (PBE-GGA).

Output
Raw formation energy (eV/atom): -0.574
Polymorph energy (0 for the lowest one) (meV/atom): 0
Crystal system: monoclinic
N(E_F) (states/eV per atom): 0.254
Spin magnetization (μB/f.u.): 0.00
Uncorrected energy (eV/atom): -3.153

Structure (POSCAR):
```
LiAu2Cl
1.0
-7.013 0.945 1.465
-6.941 -0.278 -1.991
0.644 -3.397 1.216
Au Cl Li
2 1 1
Cartesian
-13.006 -2.678 0.677
-6.958 -1.418 0.357
-9.982 -2.048 0.517
-3.327 -0.683 0.172
```

---

[2]
Entry from Alexandria via LeMat-Bulk: a geometry-optimized Sb2MoCI structure (PBE-GGA).

Output
Raw formation energy (eV/atom): 1.476
Polymorph energy (0 for the lowest one) (meV/atom): 0
Crystal system: tetragonal
N(E_F) (states/eV per atom): 0.529
Spin magnetization (μB/f.u.): 2.59
Uncorrected energy (eV/atom): -4.494

Structure (POSCAR):
```
Sb2MoCI
1.0
-3.803 -0.851 2.583
-2.361 -1.171 -3.862
1.415 -4.659 0.548
I Sb Mo C
1 2 1 1
Cartesian
0.707 -2.330 0.274
-1.181 -0.586 -1.931
-1.901 -0.426 1.292
-2.375 -3.341 -0.365
0.000 0.000 0.000
```

---

[3]
Entry from Alexandria via LeMat-Bulk: a geometry-optimized La7Tl structure (PBE-GGA).

Output
ΔE_f (eV per formula unit): -0.76
Crystal system: cubic
N(E_F) (states/eV per atom): 1.365
Spin magnetization (μB/f.u.): 0.00
Uncorrected energy (eV/atom): -4.702

Structure (POSCAR):
```
La7Tl
1.0
7.280 0.000 0.000
3.640 6.305 0.000
3.640 2.102 5.944
La Tl
7 1
Cartesian
5.460 3.152 0.000
5.460 1.051 2.972
3.640 4.203 2.972
3.640 0.000 0.000
1.820 3.152 0.000
1.820 1.051 2.972
7.280 4.203 2.972
0.000 0.000 0.000
```

---

Among the records above, which one has the highest uncorrected energy?
LiAu2Cl

---

What is the N(E_F) in the first record?
0.254 states/eV per atom